# 1
PBE ScTcSe2N, relaxed; volume = 95 Å³/f.u.; ρ = 5.50 Mg/m³; energy relative to the elements, uncorrected = -0.247 eV per atom; symmetry = P4/mmm (123); E above lowest polymorph = 0 meV/atom
1.0
5.0607 0.0000 0.0000
0.0000 5.0607 0.0000
0.0000 0.0000 3.7147
Sc Tc Se N
1 1 2 1
direct
0.0000 0.0000 0.0000 Sc
0.5000 0.5000 0.5000 Tc
0.0000 0.5000 0.5000 Se
0.5000 0.0000 0.5000 Se
0.5000 0.5000 0.0000 N



# 2
PBE ScTcSe2N, relaxed; volume = 110 Å³/f.u.; ρ = 4.76 Mg/m³; energy relative to the elements, uncorrected = 0.551 eV per atom; symmetry = P4/mmm (123); E above lowest polymorph = 798 meV/atom
1.0
5.1963 0.0000 0.0000
0.0000 5.1963 0.0000
0.0000 0.0000 4.0658
Sc Tc Se N
1 1 2 1
direct
0.0000 0.0000 0.0000 Sc
0.5000 0.5000 0.5000 Tc
0.0000 0.5000 0.0000 Se
0.5000 0.0000 0.0000 Se
0.0000 0.0000 0.5000 N



# 3
PBE ScTeSeN2, relaxed; volume = 89 Å³/f.u.; ρ = 5.20 Mg/m³; energy relative to the elements, uncorrected = 0.718 eV per atom; symmetry = P4/mmm (123); E above lowest polymorph = 67 meV/atom
1.0
4.0552 0.0000 0.0000
0.0000 4.0552 0.0000
0.0000 0.0000 5.4242
Sc Te Se N
1 1 1 2
direct
0.0000 0.0000 0.0000 Sc
0.5000 0.5000 0.5000 Te
0.5000 0.5000 0.0000 Se
0.0000 0.5000 0.5000 N
0.5000 0.0000 0.5000 N



# 4
PBE ScTeSeN2, relaxed; volume = 99 Å³/f.u.; ρ = 4.71 Mg/m³; energy relative to the elements, uncorrected = 0.650 eV per atom; symmetry = P4/mmm (123); E above lowest polymorph = 0 meV/atom
1.0
4.2468 0.0000 0.0000
0.0000 4.2468 0.0000
0.0000 0.0000 5.4693
Sc Te Se N
1 1 1 2
direct
0.0000 0.0000 0.0000 Sc
0.5000 0.5000 0.5000 Te
0.0000 0.0000 0.5000 Se
0.0000 0.5000 0.0000 N
0.5000 0.0000 0.0000 N



# 5
PBE ScTeSe2N, relaxed; volume = 112 Å³/f.u.; ρ = 5.10 Mg/m³; energy relative to the elements, uncorrected = 0.114 eV per atom; symmetry = P4/mmm (123); E above lowest polymorph = 0 meV/atom
1.0
5.3259 0.0000 0.0000
0.0000 5.3259 0.0000
0.0000 0.0000 3.9574
Sc Te Se N
1 1 2 1
direct
0.0000 0.0000 0.0000 Sc
0.5000 0.5000 0.5000 Te
0.0000 0.5000 0.0000 Se
0.5000 0.0000 0.0000 Se
0.0000 0.0000 0.5000 N



# 6
PBE ScTe2SeN, relaxed; volume = 117 Å³/f.u.; ρ = 5.56 Mg/m³; energy relative to the elements, uncorrected = 0.486 eV per atom; symmetry = P4/mmm (123); E above lowest polymorph = 185 meV/atom
1.0
5.5941 0.0000 0.0000
0.0000 5.5941 0.0000
0.0000 0.0000 3.7490
Sc Te Se N
1 2 1 1
direct
0.0000 0.0000 0.0000 Sc
0.0000 0.5000 0.5000 Te
0.5000 0.0000 0.5000 Te
0.5000 0.5000 0.5000 Se
0.5000 0.5000 0.0000 N



# 7
PBE ScTe2SeN, relaxed; volume = 128 Å³/f.u.; ρ = 5.11 Mg/m³; energy relative to the elements, uncorrected = 0.301 eV per atom; symmetry = P4/mmm (123); E above lowest polymorph = 0 meV/atom
1.0
5.6474 0.0000 0.0000
0.0000 5.6474 0.0000
0.0000 0.0000 4.0053
Sc Te Se N
1 2 1 1
direct
0.0000 0.0000 0.0000 Sc
0.0000 0.5000 0.0000 Te
0.5000 0.0000 0.0000 Te
0.5000 0.5000 0.5000 Se
0.0000 0.0000 0.5000 N



# 8
PBE ScTeSeN2, relaxed; volume = 109 Å³/f.u.; ρ = 4.24 Mg/m³; energy relative to the elements, uncorrected = 0.727 eV per atom; symmetry = P4/mmm (123); E above lowest polymorph = 77 meV/atom
1.0
4.0865 0.0000 0.0000
0.0000 4.0865 0.0000
0.0000 0.0000 6.5533
Sc Te Se N
1 1 1 2
direct
0.0000 0.0000 0.0000 Sc
0.0000 0.0000 0.5000 Te
0.5000 0.5000 0.5000 Se
0.0000 0.5000 0.0000 N
0.5000 0.0000 0.0000 N



# 9
PBE ScTeSeN2, relaxed; volume = 88 Å³/f.u.; ρ = 5.26 Mg/m³; energy relative to the elements, uncorrected = 1.063 eV per atom; symmetry = P4/mmm (123); E above lowest polymorph = 412 meV/atom
1.0
4.0260 0.0000 0.0000
0.0000 4.0260 0.0000
0.0000 0.0000 5.4478
Sc Te Se N
1 1 1 2
direct
0.0000 0.0000 0.0000 Sc
0.5000 0.5000 0.0000 Te
0.5000 0.5000 0.5000 Se
0.0000 0.5000 0.5000 N
0.5000 0.0000 0.5000 N



# 10
PBE ScTeSe2N, relaxed; volume = 115 Å³/f.u.; ρ = 4.97 Mg/m³; energy relative to the elements, uncorrected = 0.384 eV per atom; symmetry = P4/mmm (123); E above lowest polymorph = 270 meV/atom
1.0
5.3968 0.0000 0.0000
0.0000 5.3968 0.0000
0.0000 0.0000 3.9514
Sc Te Se N
1 1 2 1
direct
0.0000 0.0000 0.0000 Sc
0.5000 0.5000 0.5000 Te
0.0000 0.5000 0.5000 Se
0.5000 0.0000 0.5000 Se
0.5000 0.5000 0.0000 N



# 11
PBE ScTiSeN2, relaxed; volume = 78 Å³/f.u.; ρ = 4.25 Mg/m³; energy relative to the elements, uncorrected = -0.460 eV per atom; symmetry = P4/mmm (123); E above lowest polymorph = 0 meV/atom
1.0
3.9066 0.0000 0.0000
0.0000 3.9066 0.0000
0.0000 0.0000 5.1093
Sc Ti Se N
1 1 1 2
direct
0.0000 0.0000 0.0000 Sc
0.5000 0.5000 0.5000 Ti
0.5000 0.5000 0.0000 Se
0.0000 0.5000 0.5000 N
0.5000 0.0000 0.5000 N



# 12
PBE ScTiSeN2, relaxed; volume = 84 Å³/f.u.; ρ = 3.95 Mg/m³; energy relative to the elements, uncorrected = 0.366 eV per atom; symmetry = P4/mmm (123); E above lowest polymorph = 826 meV/atom
1.0
4.0128 0.0000 0.0000
0.0000 4.0128 0.0000
0.0000 0.0000 5.2161
Sc Ti Se N
1 1 1 2
direct
0.0000 0.0000 0.0000 Sc
0.5000 0.5000 0.5000 Ti
0.0000 0.0000 0.5000 Se
0.0000 0.5000 0.0000 N
0.5000 0.0000 0.0000 N



# 13
PBE ScTlSe2N, relaxed; volume = 119 Å³/f.u.; ρ = 5.89 Mg/m³; energy relative to the elements, uncorrected = -0.116 eV per atom; symmetry = P4/mmm (123); E above lowest polymorph = 0 meV/atom
1.0
5.3709 0.0000 0.0000
0.0000 5.3709 0.0000
0.0000 0.0000 4.1166
Sc Tl Se N
1 1 2 1
direct
0.0000 0.0000 0.0000 Sc
0.5000 0.5000 0.5000 Tl
0.0000 0.5000 0.0000 Se
0.5000 0.0000 0.0000 Se
0.0000 0.0000 0.5000 N



# 14
PBE ScTlSe2N, relaxed; volume = 119 Å³/f.u.; ρ = 5.87 Mg/m³; energy relative to the elements, uncorrected = 0.704 eV per atom; symmetry = P4/mmm (123); E above lowest polymorph = 820 meV/atom
1.0
5.3726 0.0000 0.0000
0.0000 5.3726 0.0000
0.0000 0.0000 4.1251
Sc Tl Se N
1 1 2 1
direct
0.0000 0.0000 0.0000 Sc
0.5000 0.5000 0.5000 Tl
0.0000 0.5000 0.5000 Se
0.5000 0.0000 0.5000 Se
0.5000 0.5000 0.0000 N



# 15
PBE ScVSe2N, relaxed; volume = 106 Å³/f.u.; ρ = 4.19 Mg/m³; energy relative to the elements, uncorrected = 0.399 eV per atom; symmetry = P4/mmm (123); E above lowest polymorph = 961 meV/atom
1.0
5.1637 0.0000 0.0000
0.0000 5.1637 0.0000
0.0000 0.0000 3.9795
Sc V Se N
1 1 2 1
direct
0.0000 0.0000 0.0000 Sc
0.5000 0.5000 0.5000 V
0.0000 0.5000 0.0000 Se
0.5000 0.0000 0.0000 Se
0.0000 0.0000 0.5000 N



# 16
PBE ScVSe2N, relaxed; volume = 90 Å³/f.u.; ρ = 4.96 Mg/m³; energy relative to the elements, uncorrected = -0.562 eV per atom; symmetry = P4/mmm (123); E above lowest polymorph = 0 meV/atom
1.0
4.9618 0.0000 0.0000
0.0000 4.9618 0.0000
0.0000 0.0000 3.6386
Sc V Se N
1 1 2 1
direct
0.0000 0.0000 0.0000 Sc
0.5000 0.5000 0.5000 V
0.0000 0.5000 0.5000 Se
0.5000 0.0000 0.5000 Se
0.5000 0.5000 0.0000 N



# 17
PBE ScWSe2N, relaxed; volume = 98 Å³/f.u.; ρ = 6.77 Mg/m³; energy relative to the elements, uncorrected = -0.255 eV per atom; symmetry = P4/mmm (123); E above lowest polymorph = 0 meV/atom
1.0
5.0819 0.0000 0.0000
0.0000 5.0819 0.0000
0.0000 0.0000 3.8049
Sc W Se N
1 1 2 1
direct
0.0000 0.0000 0.0000 Sc
0.5000 0.5000 0.5000 W
0.0000 0.5000 0.5000 Se
0.5000 0.0000 0.5000 Se
0.5000 0.5000 0.0000 N



# 18
PBE ScWSe2N, relaxed; volume = 105 Å³/f.u.; ρ = 6.32 Mg/m³; energy relative to the elements, uncorrected = 0.793 eV per atom; symmetry = P4/mmm (123); E above lowest polymorph = 1048 meV/atom
1.0
5.1381 0.0000 0.0000
0.0000 5.1381 0.0000
0.0000 0.0000 3.9878
Sc W Se N
1 1 2 1
direct
0.0000 0.0000 0.0000 Sc
0.5000 0.5000 0.5000 W
0.0000 0.5000 0.0000 Se
0.5000 0.0000 0.0000 Se
0.0000 0.0000 0.5000 N



# 19
PBE YScSe2N, relaxed; volume = 121 Å³/f.u.; ρ = 4.19 Mg/m³; energy relative to the elements, uncorrected = -0.306 eV per atom; symmetry = P4/mmm (123); E above lowest polymorph = 528 meV/atom
1.0
5.4381 0.0000 0.0000
0.0000 5.4381 0.0000
0.0000 0.0000 4.0934
Y Sc Se N
1 1 2 1
direct
0.0000 0.0000 0.0000 Y
0.5000 0.5000 0.5000 Sc
0.0000 0.5000 0.0000 Se
0.5000 0.0000 0.0000 Se
0.0000 0.0000 0.5000 N



# 20
PBE YScSe2N, relaxed; volume = 109 Å³/f.u.; ρ = 4.68 Mg/m³; energy relative to the elements, uncorrected = -0.834 eV per atom; symmetry = P4/mmm (123); E above lowest polymorph = 0 meV/atom
1.0
5.1856 0.0000 0.0000
0.0000 5.1856 0.0000
0.0000 0.0000 4.0381
Y Sc Se N
1 1 2 1
direct
0.0000 0.0000 0.0000 Y
0.5000 0.5000 0.5000 Sc
0.0000 0.5000 0.5000 Se
0.5000 0.0000 0.5000 Se
0.5000 0.5000 0.0000 N



# 21
PBE ScZnSe2N, relaxed; volume = 96 Å³/f.u.; ρ = 4.88 Mg/m³; energy relative to the elements, uncorrected = 0.148 eV per atom; symmetry = P4/mmm (123); E above lowest polymorph = 178 meV/atom
1.0
5.0567 0.0000 0.0000
0.0000 5.0567 0.0000
0.0000 0.0000 3.7581
Sc Zn Se N
1 1 2 1
direct
0.0000 0.0000 0.0000 Sc
0.5000 0.5000 0.5000 Zn
0.0000 0.5000 0.5000 Se
0.5000 0.0000 0.5000 Se
0.5000 0.5000 0.0000 N



# 22
PBE ScZnSe2N, relaxed; volume = 113 Å³/f.u.; ρ = 4.14 Mg/m³; energy relative to the elements, uncorrected = 0.117 eV per atom; symmetry = P4/mmm (123); E above lowest polymorph = 146 meV/atom
1.0
5.2323 0.0000 0.0000
0.0000 5.2323 0.0000
0.0000 0.0000 4.1343
Sc Zn Se N
1 1 2 1
direct
0.0000 0.0000 0.0000 Sc
0.5000 0.5000 0.5000 Zn
0.0000 0.5000 0.0000 Se
0.5000 0.0000 0.0000 Se
0.0000 0.0000 0.5000 N



# 23
PBE ScZnSe2N, relaxed; volume = 93 Å³/f.u.; ρ = 5.07 Mg/m³; energy relative to the elements, uncorrected = -0.029 eV per atom; symmetry = P4/mmm (123); E above lowest polymorph = 0 meV/atom
1.0
4.7523 0.0000 0.0000
0.0000 4.7523 0.0000
0.0000 0.0000 4.0960
Sc Zn Se N
1 1 2 1
direct
0.0000 0.0000 0.0000 Sc
0.5000 0.5000 0.0000 Zn
0.0000 0.5000 0.5000 Se
0.5000 0.0000 0.5000 Se
0.0000 0.0000 0.5000 N



# 24
PBE ZrScSeN2, relaxed; volume = 84 Å³/f.u.; ρ = 4.81 Mg/m³; energy relative to the elements, uncorrected = 0.047 eV per atom; symmetry = P4/mmm (123); E above lowest polymorph = 360 meV/atom
1.0
4.0621 0.0000 0.0000
0.0000 4.0621 0.0000
0.0000 0.0000 5.0853
Zr Sc Se N
1 1 1 2
direct
0.0000 0.0000 0.0000 Zr
0.5000 0.5000 0.5000 Sc
0.5000 0.5000 0.0000 Se
0.0000 0.5000 0.5000 N
0.5000 0.0000 0.5000 N



# 25
PBE ZrScSeN2, relaxed; volume = 92 Å³/f.u.; ρ = 4.41 Mg/m³; energy relative to the elements, uncorrected = -0.313 eV per atom; symmetry = P4/mmm (123); E above lowest polymorph = 0 meV/atom
1.0
4.1350 0.0000 0.0000
0.0000 4.1350 0.0000
0.0000 0.0000 5.3561
Zr Sc Se N
1 1 1 2
direct
0.0000 0.0000 0.0000 Zr
0.5000 0.5000 0.5000 Sc
0.0000 0.0000 0.5000 Se
0.0000 0.5000 0.0000 N
0.5000 0.0000 0.0000 N



# 26
PBE ZrScSe2N, relaxed; volume = 102 Å³/f.u.; ρ = 5.00 Mg/m³; energy relative to the elements, uncorrected = -0.283 eV per atom; symmetry = P4/mmm (123); E above lowest polymorph = 296 meV/atom
1.0
5.1241 0.0000 0.0000
0.0000 5.1241 0.0000
0.0000 0.0000 3.8984
Zr Sc Se N
1 1 2 1
direct
0.0000 0.0000 0.0000 Zr
0.5000 0.5000 0.5000 Sc
0.0000 0.5000 0.5000 Se
0.5000 0.0000 0.5000 Se
0.5000 0.5000 0.0000 N



# 27
PBE ZrScSe2N, relaxed; volume = 112 Å³/f.u.; ρ = 4.56 Mg/m³; energy relative to the elements, uncorrected = -0.579 eV per atom; symmetry = P4/mmm (123); E above lowest polymorph = 0 meV/atom
1.0
5.2867 0.0000 0.0000
0.0000 5.2867 0.0000
0.0000 0.0000 4.0174
Zr Sc Se N
1 1 2 1
direct
0.0000 0.0000 0.0000 Zr
0.5000 0.5000 0.5000 Sc
0.0000 0.5000 0.0000 Se
0.5000 0.0000 0.0000 Se
0.0000 0.0000 0.5000 N



# 28
PBE Sc6Si3N, relaxed; volume = 212 Å³/f.u.; ρ = 2.88 Mg/m³; energy relative to the elements, uncorrected = -0.720 eV per atom; symmetry = Cmc2_1 (36)
1.0
5.1961 -6.4647 0.0000
5.1961 6.4647 0.0000
0.0000 0.0000 6.3233
Sc Si N
12 6 2
direct
0.0501 0.9499 0.5000 Sc
0.1117 0.5832 0.5296 Sc
0.2237 0.7763 0.0484 Sc
0.3156 0.3624 0.0548 Sc
0.3624 0.3156 0.5548 Sc
0.4168 0.8883 0.5296 Sc
0.5832 0.1117 0.0296 Sc
0.6376 0.6844 0.0548 Sc
0.6844 0.6376 0.5548 Sc
0.7763 0.2237 0.5484 Sc
0.8883 0.4168 0.0296 Sc
0.9499 0.0501 0.0000 Sc
0.0689 0.2821 0.3253 Si
0.2821 0.0689 0.8253 Si
0.3877 0.6123 0.7727 Si
0.6123 0.3877 0.2727 Si
0.7179 0.9311 0.3253 Si
0.9311 0.7179 0.8253 Si
0.1971 0.8029 0.3678 N
0.8029 0.1971 0.8678 N